{
  "formula": "CoP3",
  "functional": "GGA-PBEsol",
  "state": "optimized geometry",
  "lattice_angstrom": [[3.309, 0.000, 0.000], [0.000, 3.309, 0.000], [0.000, 0.000, 5.068]],
  "species": ["Co", "P", "P", "P"],
  "frac_coords": [[0.000, 0.000, 0.000], [0.000, 0.500, 0.318], [0.500, 0.000, 0.682], [0.500, 0.500, 0.000]],
  "e_form_ev_per_atom": 0.02,
  "volume_a3_per_atom": 13.87,
  "dos_at_fermi_per_ev_atom": 0.498
}